No. 1
Below is an optimized crystal structure of SiHg2Mo, with properties calculated at the PBE-GGA level.

Cell lengths 6.0616, 6.0616, 6.0616 Å; angles 101.13, 101.13, 127.88 degrees
Last column: nearest neighbours and their distance in Å.
Positions (direct):
Si  0.0000  0.0000  0.0000  2 Mo 2.66, 4 Hg 2.68
Si  0.7500  0.2500  0.5000  2 Mo 2.66, 4 Hg 2.68
Hg  0.1020  0.6250  0.9770  2 Si 2.68, 2 Hg 2.69, 2 Mo 2.93
Hg  0.3750  0.3520  0.4770  2 Si 2.68, 2 Hg 2.69, 2 Mo 2.93
Hg  0.6480  0.1250  0.0230  2 Si 2.68, 2 Hg 2.69, 2 Mo 2.93
Hg  0.8750  0.8980  0.5230  2 Si 2.68, 2 Hg 2.69, 2 Mo 2.93
Mo  0.2500  0.7500  0.5000  2 Si 2.66, 4 Hg 2.93
Mo  0.5000  0.5000  0.0000  2 Si 2.66, 4 Hg 2.93

Calculated values
formation energy (no corrections) = 2.99 eV per formula unit
DOS(E_F) = 6.256 states/eV/cell
space group = No. 122
energy = -3.47 eV/atom



No. 2
Below is an optimized crystal structure of Tb3Dy4Ho5, with properties calculated at the PBE-GGA level.

Cell lengths 8.4701, 8.4701, 9.2042 Å; angles 114.59, 114.59, 40.35 degrees
Last column: nearest neighbours and their distance in Å.
Positions (direct):
Tb  0.0000  0.0000  0.0000  2 Ho 2.92
Tb  0.2911  0.2911  0.7684  5 Ho 3.05-3.41, 2 Dy 3.27-3.36
Tb  0.7089  0.7089  0.2316  5 Ho 3.05-3.41, 2 Dy 3.27-3.36
Dy  0.2873  0.2873  0.1211  3 Tb 3.27-3.50, 3 Dy 3.54-3.63, 3 Ho 3.59-3.64
Dy  0.4187  0.4187  0.5589  1 Dy 3.22, 1 Tb 3.36, 3 Ho 3.40-3.51
Dy  0.5813  0.5813  0.4411  1 Dy 3.22, 1 Tb 3.36, 3 Ho 3.40-3.51
Dy  0.7127  0.7127  0.8789  3 Tb 3.27-3.50, 3 Dy 3.54-3.63, 3 Ho 3.59-3.64
Ho  0.0735  0.0735  0.6993  2 Tb 3.23-3.45, 1 Ho 3.36, 2 Dy 3.59
Ho  0.1729  0.1729  0.3870  4 Tb 3.16-3.41, 3 Dy 3.40-3.51
Ho  0.5000  0.5000  0.0000  4 Tb 2.92-3.05
Ho  0.8271  0.8271  0.6130  4 Tb 3.16-3.41, 3 Dy 3.40-3.51
Ho  0.9265  0.9265  0.3007  2 Tb 3.23-3.45, 1 Ho 3.36, 2 Dy 3.59

Calculated values
energy of formation = 242 meV per atom
DOS(E_F) = 19.119 states/eV/cell
space group = No. 12
energy = -4.36 eV/atom
energy relative to the lowest polymorph listed for this composition = 225 meV per atom



No. 3
Below is an optimized crystal structure of Al2CrTe, with properties calculated at the PBE-GGA level.

Cell lengths 3.1210, 3.1210, 7.7449 Å; angles 90.00, 90.00, 90.00 degrees
Last column: nearest neighbours and their distance in Å.
Positions (direct):
Al  0.0000  0.0000  0.0000  8 Al 2.85-3.12
Al  0.5000  0.5000  0.2322  4 Cr 2.66, 4 Al 2.85
Cr  0.0000  0.0000  0.4249  4 Al 2.66, 4 Te 2.68
Te  0.5000  0.5000  0.6211  4 Cr 2.68

Calculated values
formation energy (no corrections) = 0.80 eV per formula unit
DOS(E_F) = 2.247 states/eV/cell
space group = No. 99
energy = -4.86 eV/atom



No. 4
Below is an optimized crystal structure of Pm2SmPaSe4, with properties calculated at the PBE-GGA level.

Cell lengths 7.2119, 4.1316, 7.2135 Å; angles 90.00, 109.12, 90.00 degrees
Last column: nearest neighbours and their distance in Å.
Positions (direct):
Pm  0.0000  0.0000  0.0000  6 Se 2.95
Pm  0.0000  0.5000  0.5000  6 Se 2.97
Sm  0.5000  0.0000  0.5000  6 Se 2.93
Pa  0.5000  0.5000  0.0000  6 Se 2.90-2.91
Se  0.2543  0.5000  0.2484  1 Pa 2.90, 2 Sm 2.93, 3 Pm 2.95-2.97
Se  0.2554  0.0000  0.7540  2 Pa 2.91, 1 Sm 2.93, 3 Pm 2.95-2.97
Se  0.7446  0.0000  0.2460  2 Pa 2.91, 1 Sm 2.93, 3 Pm 2.95-2.97
Se  0.7457  0.5000  0.7516  1 Pa 2.90, 2 Sm 2.93, 3 Pm 2.95-2.97

Calculated values
formation energy (no corrections) = -13.23 eV per formula unit
DOS(E_F) = 7.309 states/eV/cell
space group = No. 10
energy = -6.36 eV/atom